DFT (PBE) results for crystalline Ba4SrCa3 at its relaxed geometry.

Structure (CIF):
```
data_Ba4SrCa3
_cell_length_a 13.8683
_cell_length_b 8.5998
_cell_length_c 7.2109
_cell_angle_alpha 90.00
_cell_angle_beta 90.00
_cell_angle_gamma 90.00
_symmetry_space_group_name_H-M 'P m n 21'
_symmetry_Int_Tables_number 31
loop_
_symmetry_equiv_pos_as_xyz
'x,y,z'
'-x+1/2,-y,z+1/2'
'-x,y,z'
'x+1/2,-y,z+1/2'
loop_
_atom_site_label
_atom_site_type_symbol
_atom_site_fract_x
_atom_site_fract_y
_atom_site_fract_z
Ba1 Ba 0.0000 0.1160 0.0000
Ba2 Ba 0.0000 0.6341 0.9880
Ba3 Ba 0.2452 0.6373 0.3582
Sr1 Sr 0.0000 0.3685 0.4887
Ca1 Ca 0.0000 0.8822 0.5040
Ca2 Ca 0.2457 0.1176 0.3501
```

Summary:
The calculation puts the formation energy at 0.034 eV/atom.